# 1
# Li5Co3O8

A relaxed Li5Co3O8 crystal (PBEsol, Alexandria).

Unit cell a=4.874 b=5.605 c=5.598 alpha=120.04 beta=106.73 gamma=90.00
Each line ends with the local moment (μB).
Atoms (fractional coordinates):
O 0.223 0.862 0.723  0.07
Co 0.000 0.500 0.500  0.50
O 0.222 0.390 0.250  0.08
O 0.217 0.370 0.739  -0.02
O 0.777 0.138 0.277  0.07
Li 0.500 0.763 0.000  0.00
Co 0.000 0.000 0.500  0.50
Li 0.499 0.247 0.493  0.00
O 0.783 0.630 0.261  -0.02
O 0.778 0.140 0.750  0.08
Li 0.000 0.000 0.000  0.01
O 0.222 0.860 0.250  0.08
Li 0.500 0.237 0.000  0.00
Co 0.000 0.500 0.000  0.52
O 0.778 0.610 0.750  0.08
Li 0.501 0.753 0.507  0.00

space group = C2/m, No. 12
raw total energy = -6.263 eV per atom
formation energy without anion corrections = -1.57 eV per atom
density = 4.515 Mg/m³


# 2
# LiCoO2

A relaxed LiCoO2 crystal (PBEsol, Alexandria).

Unit cell a=4.861 b=4.872 c=7.451 alpha=109.01 beta=102.23 gamma=100.06
Each line ends with the local moment (μB).
Atoms (fractional coordinates):
Li 0.784 0.090 0.588  0.00
Li 0.606 0.703 0.219  0.00
O 0.330 0.721 0.943  0.00
O 0.871 0.678 0.451  -0.01
Li 0.500 0.500 0.500  0.00
O 0.449 0.895 0.667  -0.01
O 0.551 0.105 0.333  -0.01
O 0.670 0.279 0.057  0.00
Co 0.000 0.500 0.000  0.15
Co 0.303 0.107 0.102  -0.01
Li 0.394 0.297 0.781  0.00
O 0.960 0.904 0.133  0.00
O 0.225 0.472 0.232  0.00
Co 0.899 0.297 0.306  -0.07
Li 0.216 0.910 0.412  0.00
Co 0.101 0.703 0.694  -0.07
O 0.040 0.096 0.867  0.00
Co 0.697 0.893 0.898  -0.01
O 0.775 0.528 0.768  0.00
O 0.129 0.322 0.549  -0.01

space group = P-1, No. 2
raw total energy = -6.488 eV per atom
formation energy without anion corrections = -1.44 eV per atom
density = 5.167 Mg/m³


# 3
# Li6CoO4

A relaxed Li6CoO4 crystal (PBEsol, Alexandria).

Unit cell a=4.611 b=6.469 c=6.469 alpha=90.00 beta=90.00 gamma=90.00
Each line ends with the local moment (μB).
Atoms (fractional coordinates):
O 0.790 0.000 0.264  0.10
O 0.290 0.764 0.500  0.10
Li 0.500 0.217 0.783  0.00
Li 0.500 0.783 0.783  0.00
Li 0.500 0.217 0.217  0.00
Li 0.000 0.717 0.717  0.00
Li 0.554 0.000 0.500  0.01
O 0.790 0.000 0.736  0.10
Li 0.946 0.500 0.000  0.01
Li 0.500 0.783 0.217  0.00
O 0.710 0.500 0.764  0.10
O 0.210 0.264 0.000  0.10
Co 0.500 0.500 0.500  2.40
Li 0.000 0.717 0.283  0.00
Li 0.000 0.283 0.283  0.00
O 0.710 0.500 0.236  0.10
O 0.290 0.236 0.500  0.10
Li 0.446 0.500 0.000  0.01
O 0.210 0.736 0.000  0.10
Co 0.000 0.000 0.000  2.40
Li 0.000 0.283 0.717  0.00
Li 0.054 0.000 0.500  0.01

space group = P4_2/nmc, No. 137
raw total energy = -5.312 eV per atom
formation energy without anion corrections = -1.63 eV per atom
density = 2.832 Mg/m³


# 4
# Li10Co4O9

A relaxed Li10Co4O9 crystal (PBEsol, Alexandria).

Unit cell a=4.612 b=9.477 c=9.477 alpha=90.00 beta=90.00 gamma=90.00
Each line ends with the local moment (μB).
Atoms (fractional coordinates):
Li 0.196 0.856 0.686  0.00
O 0.000 0.676 0.324  0.24
O 0.500 0.824 0.824  0.24
O 0.500 0.500 0.500  0.36
O 0.500 0.176 0.824  0.24
Li 0.137 0.000 0.500  0.01
Co 0.690 0.000 0.139  2.47
Li 0.696 0.186 0.644  0.00
O 0.597 0.500 0.837  0.09
O 0.097 0.663 0.000  0.09
Co 0.190 0.639 0.500  2.47
Li 0.637 0.000 0.500  0.01
Li 0.363 0.500 0.000  0.01
Li 0.196 0.856 0.314  0.00
O 0.403 0.837 0.500  0.09
Co 0.190 0.361 0.500  2.47
Li 0.304 0.356 0.186  0.00
Li 0.804 0.314 0.144  0.00
Li 0.196 0.144 0.314  0.00
Co 0.310 0.861 0.000  2.47
O 0.000 0.324 0.676  0.24
O 0.903 0.000 0.337  0.09
Li 0.804 0.686 0.856  0.00
O 0.903 0.000 0.663  0.09
Li 0.804 0.686 0.144  0.00
Li 0.696 0.814 0.644  0.00
O 0.500 0.176 0.176  0.24
Li 0.804 0.314 0.856  0.00
O 0.097 0.337 0.000  0.09
Li 0.304 0.356 0.814  0.00
O 0.403 0.163 0.500  0.09
Co 0.810 0.500 0.361  2.47
Li 0.304 0.644 0.186  0.00
O 0.000 0.324 0.324  0.24
Co 0.690 0.000 0.861  2.47
Li 0.304 0.644 0.814  0.00
O 0.500 0.824 0.176  0.24
Li 0.696 0.186 0.356  0.00
Li 0.863 0.500 0.000  0.01
O 0.000 0.000 0.000  0.36
O 0.000 0.676 0.676  0.24
Co 0.810 0.500 0.639  2.47
O 0.597 0.500 0.163  0.09
Co 0.310 0.139 0.000  2.47
Li 0.196 0.144 0.686  0.00
Li 0.696 0.814 0.356  0.00

space group = P4_2/nmc, No. 137
raw total energy = -5.714 eV per atom
formation energy without anion corrections = -1.46 eV per atom
density = 3.602 Mg/m³


> Which of these has the highest formation energy without anion corrections?

LiCoO2


> Which formula does entry 3 have?

Li6CoO4